No. 1
Na3CeCd2O6: optimized geometry, PBE.

Properties
energy relative to the elements, uncorrected = -20.703 eV per formula unit
symmetry = C2/m

Lattice parameters (Å, degrees): 5.859 5.859 5.959 99.11 99.11 120.36
Atoms (fractional coordinates):
O (0.923, 0.600, 0.774)
O (0.077, 0.400, 0.226)
O (0.400, 0.077, 0.226)
O (0.600, 0.923, 0.774)
O (0.245, 0.245, 0.773)
O (0.755, 0.755, 0.227)
Na (0.176, 0.824, 0.500)
Na (0.500, 0.500, 0.500)
Na (0.824, 0.176, 0.500)
Cd (0.334, 0.666, 0.000)
Cd (0.666, 0.334, 0.000)
Ce (0.000, 0.000, 0.000)

No. 2
HoMg4Cd: optimized geometry, PBE.

Properties
offset from the most stable computed form = 0 meV/atom
symmetry = P4/mmm

Lattice parameters (Å, degrees): 3.448 3.448 11.969 90.00 90.00 90.00
Atoms (fractional coordinates):
Mg (0.500, 0.500, 0.815)
Mg (0.000, 0.000, 0.652)
Mg (0.500, 0.500, 0.185)
Mg (0.000, 0.000, 0.348)
Ho (0.000, 0.000, 0.000)
Cd (0.500, 0.500, 0.500)

No. 3
Ac2Tc2Ge2N: optimized geometry, PBE.

Properties
energy relative to the elements, uncorrected = -4.543 eV per formula unit
symmetry = C2/m

Lattice parameters (Å, degrees): 4.291 6.264 6.431 72.29 70.51 69.97
Atoms (fractional coordinates):
N (0.000, 0.000, 0.000)
Tc (0.190, 0.703, 0.916)
Tc (0.810, 0.297, 0.084)
Ge (0.823, 0.620, 0.733)
Ge (0.177, 0.380, 0.267)
Ac (0.560, 0.180, 0.701)
Ac (0.440, 0.820, 0.299)

No. 4
Tm6SnTe3S2: optimized geometry, PBE.

Properties
energy relative to the elements, uncorrected = -16.319 eV per formula unit
symmetry = C2/m

Lattice parameters (Å, degrees): 7.127 7.127 7.375 99.29 99.29 119.85
Atoms (fractional coordinates):
Tm (0.072, 0.423, 0.216)
Tm (0.928, 0.577, 0.784)
Tm (0.423, 0.072, 0.216)
Tm (0.577, 0.928, 0.784)
Tm (0.719, 0.719, 0.211)
Tm (0.281, 0.281, 0.789)
S (0.668, 0.332, 0.000)
S (0.332, 0.668, 0.000)
Sn (0.000, 0.000, 0.000)
Te (0.161, 0.839, 0.500)
Te (0.500, 0.500, 0.500)
Te (0.839, 0.161, 0.500)

No. 5
Tc2MoPb: optimized geometry, PBE.

Properties
total energy = -8.277 eV/atom
symmetry = I-4m2

Lattice parameters (Å, degrees): 5.235 5.235 5.235 136.49 136.49 63.23
Atoms (fractional coordinates):
Tc (0.250, 0.750, 0.500)
Tc (0.000, 0.000, 0.000)
Pb (0.750, 0.250, 0.500)
Mo (0.500, 0.500, 0.000)

No. 6
SrP2OF: optimized geometry, PBE.

Properties
offset from the most stable computed form = 969 meV/atom
energy relative to the elements, uncorrected = 3.190 eV per formula unit
symmetry = P4/mmm

Lattice parameters (Å, degrees): 6.509 6.509 4.426 90.00 90.00 90.00
Atoms (fractional coordinates):
P (0.500, 0.000, 0.000)
P (0.000, 0.500, 0.000)
Sr (0.000, 0.000, 0.000)
O (0.000, 0.000, 0.500)
F (0.500, 0.500, 0.500)

No. 7
HgP2PdO7: optimized geometry, PBE.

Properties
energy relative to the elements, uncorrected = -16.648 eV per formula unit
symmetry = C2/c

Lattice parameters (Å, degrees): 7.678 7.678 8.993 78.27 78.27 39.27
Atoms (fractional coordinates):
Hg (0.500, 0.000, 0.000)
Hg (0.000, 0.500, 0.500)
P (0.247, 0.550, 0.777)
P (0.753, 0.450, 0.223)
P (0.550, 0.247, 0.277)
P (0.450, 0.753, 0.723)
O (0.734, 0.624, 0.696)
O (0.266, 0.376, 0.304)
O (0.887, 0.324, 0.376)
O (0.376, 0.266, 0.804)
O (0.324, 0.887, 0.876)
O (0.267, 0.946, 0.588)
O (0.946, 0.267, 0.088)
O (0.501, 0.499, 0.250)
O (0.624, 0.734, 0.196)
O (0.113, 0.676, 0.624)
O (0.499, 0.501, 0.750)
O (0.054, 0.733, 0.912)
O (0.733, 0.054, 0.412)
O (0.676, 0.113, 0.124)
Pd (0.000, 0.000, 0.000)
Pd (0.000, 0.000, 0.500)

No. 8
Dy4AsSe3: optimized geometry, PBE.

Properties
energy relative to the elements, uncorrected = -13.928 eV per formula unit
symmetry = Pm-3m

Lattice parameters (Å, degrees): 5.772 5.772 5.772 90.00 90.00 90.00
Atoms (fractional coordinates):
Se (0.000, 0.500, 0.500)
Se (0.500, 0.500, 0.000)
Se (0.500, 0.000, 0.500)
As (0.000, 0.000, 0.000)
Dy (0.500, 0.500, 0.500)
Dy (0.000, 0.500, 0.000)
Dy (0.500, 0.000, 0.000)
Dy (0.000, 0.000, 0.500)

No. 9
LiHgRhSe2: optimized geometry, PBE.

Properties
energy relative to the elements, uncorrected = 3.794 eV per formula unit
symmetry = P4/mmm

Lattice parameters (Å, degrees): 5.262 4.636 5.262 90.00 90.00 90.00
Atoms (fractional coordinates):
Hg (0.000, 0.000, 0.000)
Li (0.000, 0.500, 0.000)
Se (0.500, 0.000, 0.000)
Se (0.000, 0.000, 0.500)
Rh (0.500, 0.500, 0.500)

No. 10
YHf2Al9: optimized geometry, PBE.

Properties
total energy = -5.285 eV/atom
symmetry = R-3m

Lattice parameters (Å, degrees): 5.351 5.351 9.286 73.25 73.25 60.00
Atoms (fractional coordinates):
Al (0.590, 0.590, 0.739)
Al (0.666, 0.666, 0.002)
Al (0.410, 0.919, 0.261)
Al (0.334, 0.334, 0.998)
Al (0.590, 0.081, 0.739)
Al (0.919, 0.410, 0.261)
Al (0.500, 0.500, 0.500)
Al (0.081, 0.590, 0.739)
Al (0.410, 0.410, 0.261)
Hf (0.145, 0.145, 0.565)
Hf (0.855, 0.855, 0.435)
Y (0.000, 0.000, 0.000)

No. 11
TlTc2Te: optimized geometry, PBE.

Properties
offset from the most stable computed form = 469 meV/atom
energy relative to the elements, uncorrected = 3.164 eV per formula unit
symmetry = I-42d

Lattice parameters (Å, degrees): 4.370 4.370 9.964 77.33 77.33 90.00
Atoms (fractional coordinates):
Tc (0.875, 0.769, 0.750)
Tc (0.519, 0.125, 0.250)
Tc (0.231, 0.625, 0.250)
Tc (0.375, 0.481, 0.750)
Tl (0.000, 0.000, 0.000)
Tl (0.750, 0.250, 0.500)
Te (0.500, 0.500, 0.000)
Te (0.250, 0.750, 0.500)

No. 12
CoNi14Os: optimized geometry, PBE.

Properties
total energy = -6.158 eV/atom
symmetry = Amm2

Lattice parameters (Å, degrees): 5.011 5.011 8.187 90.00 90.00 120.01
Atoms (fractional coordinates):
Ni (0.876, 0.626, 0.751)
Ni (0.876, 0.124, 0.751)
Ni (0.540, 0.958, 0.500)
Ni (0.042, 0.460, 0.500)
Ni (0.876, 0.626, 0.249)
Ni (0.375, 0.625, 0.249)
Ni (0.708, 0.792, 0.000)
Ni (0.208, 0.292, 0.000)
Ni (0.876, 0.124, 0.249)
Ni (0.374, 0.124, 0.751)
Ni (0.375, 0.625, 0.751)
Ni (0.374, 0.124, 0.249)
Ni (0.208, 0.792, 0.000)
Ni (0.708, 0.292, 0.000)
Os (0.541, 0.459, 0.500)
Co (0.043, 0.957, 0.500)